Pr3Sm4Ho2 | PBE | relaxed

Calculated values
Its space-group type is P-1 (2). The calculation puts the density of states at the Fermi level at 12.8 states/eV/cell. Its energy of formation from the pure elements is 0.016 eV/atom. For the relative energy among the computed polymorphs, the calculation gives 0 meV/atom. The value obtained for the total magnetization is 0.00 μB/f.u.

a = 6.284 Å, b = 6.293 Å, c = 9.616 Å
α = 70.92°, β = 71.12°, γ = 60.06°
Positions (direct):
Pr 0.000 0.000 0.000
Pr 0.444 0.778 0.666
Pr 0.556 0.222 0.334
Sm 0.110 0.447 0.666
Sm 0.334 0.331 0.000
Sm 0.666 0.669 0.000
Sm 0.890 0.553 0.334
Ho 0.222 0.889 0.334
Ho 0.778 0.111 0.666

ZnAuCl | PBE | relaxed

Calculated values
Its space-group type is F-43m (216). The calculation puts the density of states at the Fermi level at 0.4 states/eV/cell. Its raw formation energy is 0.09 eV/atom. For the relative energy among the computed polymorphs, the calculation gives 619 meV/atom. The value obtained for the total magnetization is 0.00 μB/f.u.

a = 4.561 Å, b = 4.561 Å, c = 4.561 Å
α = 60.00°, β = 60.00°, γ = 60.00°
Positions (direct):
Zn 0.000 0.000 0.000
Au 0.250 0.250 0.250
Cl 0.500 0.500 0.500

YPa3S6 | PBE | relaxed

Calculated values
Its space-group type is P2_1/m (11). The calculation puts the density of states at the Fermi level at 24.1 states/eV/cell. Its raw formation energy is -1.64 eV/atom. The value obtained for the total magnetization is 4.12 μB/f.u.

a = 10.960 Å, b = 3.852 Å, c = 11.389 Å
α = 90.00°, β = 107.08°, γ = 90.00°
Positions (direct):
Y 0.044 0.250 0.192
Y 0.956 0.750 0.808
Pa 0.149 0.250 0.571
Pa 0.318 0.750 0.997
Pa 0.422 0.250 0.336
Pa 0.578 0.750 0.664
Pa 0.682 0.250 0.003
Pa 0.851 0.750 0.429
S 0.084 0.750 0.390
S 0.117 0.250 0.963
S 0.194 0.750 0.748
S 0.251 0.750 0.217
S 0.398 0.250 0.571
S 0.490 0.250 0.124
S 0.510 0.750 0.876
S 0.602 0.750 0.429
S 0.749 0.250 0.783
S 0.806 0.250 0.252
S 0.883 0.750 0.037
S 0.916 0.250 0.610

Number 1: VASP energy -0.172 hartree per atom. Number 2: VASP energy -0.075 hartree per atom. Number 3: VASP energy -0.280 hartree per atom.